A relaxed SrMoW2 crystal, computed with PBE.

a = 5.7594 Å, b = 9.9707 Å, c = 2.7343 Å
α = 90.00°, β = 107.63°, γ = 90.00°
Last column: nearest neighbours and their distance in Å.
Space group C2/m (No. 12)
Asymmetric unit:
Sr: 0.0000 0.0000 0.0000 (multiplicity 2)  2 Sr 2.73, 2 Mo 2.88, 4 W 2.99
Mo: 0.0000 0.5000 0.0000 (multiplicity 2)  2 Mo 2.73, 2 Sr 2.88, 4 W 2.99
W: 0.2500 0.2500 0.5000 (multiplicity 4)  4 W 2.73-2.88, 2 Mo 2.99, 2 Sr 2.99

As for the formation energy: 1.125 eV per atom. The calculation puts the energy above the most stable polymorph in this dataset at 387.9 meV/atom. The total moment comes out at 0.00 μB per cell. The calculation puts the theoretical density at 12.23 g/cm³.

***

A relaxed ErTmZnCu crystal, computed with PBE.

a = 6.9539 Å, b = 6.9539 Å, c = 6.9539 Å
α = 90.00°, β = 90.00°, γ = 90.00°
Last column: nearest neighbours and their distance in Å.
Space group F-43m (No. 216)
Asymmetric unit:
Er: 0.0000 0.0000 0.0000 (multiplicity 4)  4 Zn 3.01, 4 Cu 3.01
Tm: 0.0000 0.0000 0.5000 (multiplicity 4)  4 Cu 3.01, 4 Zn 3.01
Zn: 0.2500 0.2500 0.7500 (multiplicity 4)  4 Er 3.01, 4 Tm 3.01
Cu: 0.2500 0.2500 0.2500 (multiplicity 4)  4 Er 3.01, 4 Tm 3.01

As for the formation energy: -0.307 eV per atom. The calculation puts the energy above the most stable polymorph in this dataset at 9.2 meV/atom. The total moment comes out at 0.00 μB per cell. The calculation puts the theoretical density at 9.19 g/cm³.

***

A relaxed Ca2GaHgIr crystal, computed with PBE.

a = 5.5101 Å, b = 5.5101 Å, c = 4.7807 Å
α = 90.00°, β = 90.00°, γ = 90.00°
Last column: nearest neighbours and their distance in Å.
Space group P4/mmm (No. 123)
Asymmetric unit:
Ca: 0.0000 0.5000 0.0000 (multiplicity 2)  2 Ir 2.76
Ga: 0.0000 0.0000 0.5000 (multiplicity 1)  2 Ir 2.39
Hg: 0.5000 0.5000 0.5000 (multiplicity 1)  8 Ca 3.65, 4 Ga 3.90
Ir: 0.0000 0.0000 0.0000 (multiplicity 1)  2 Ga 2.39

As for the formation energy: -0.373 eV per atom. The total moment comes out at 0.00 μB per cell. The calculation puts the theoretical density at 6.21 g/cm³.

***

A relaxed LaGa4Pd3 crystal, computed with PBE.

a = 4.3644 Å, b = 4.3644 Å, c = 8.1545 Å
α = 90.00°, β = 90.00°, γ = 90.00°
Last column: nearest neighbours and their distance in Å.
Space group P4/mmm (No. 123)
Asymmetric unit:
La: 0.0000 0.0000 0.0000 (multiplicity 1)  8 Pd 3.36, 8 Ga 3.44
Ga: 0.0000 0.5000 0.3260 (multiplicity 4)  4 Pd 2.55-2.60, 1 Ga 2.84
Pd: 0.0000 0.0000 0.5000 (multiplicity 1)  8 Ga 2.60
Pd: 0.5000 0.5000 0.1638 (multiplicity 2)  4 Ga 2.55, 1 Pd 2.67

As for the formation energy: -0.655 eV per atom. The total moment comes out at 0.00 μB per cell. The calculation puts the theoretical density at 7.88 g/cm³.

***

A relaxed ZrAl4Si2 crystal, computed with PBE.

a = 6.7515 Å, b = 3.9059 Å, c = 22.3662 Å
α = 90.00°, β = 90.17°, γ = 90.00°
Last column: nearest neighbours and their distance in Å.
Space group C2/m (No. 12)
Asymmetric unit:
Zr: 0.1678 0.0000 0.1149 (multiplicity 4)  3 Si 2.73-2.74, 4 Al 2.88-2.94
Al: 0.1637 0.0000 0.6873 (multiplicity 4)  1 Si 2.45, 3 Al 2.73
Al: 0.1651 0.0000 0.4610 (multiplicity 4)  4 Si 2.41-2.61
Al: 0.1666 0.0000 0.9698 (multiplicity 4)  3 Al 2.63
Al: 0.1692 0.0000 0.2438 (multiplicity 4)  3 Si 2.62, 3 Al 2.73, 1 Zr 2.88
Si: 0.0022 0.5000 0.1842 (multiplicity 4)  3 Al 2.62, 3 Zr 2.73-2.74
Si: 0.1693 0.0000 0.5778 (multiplicity 4)  5 Al 2.41-2.61

The calculation puts the energy above the most stable polymorph in this dataset at 219.8 meV/atom. The total moment comes out at 0.00 μB per cell. As for the uncorrected formation energy: 0.54 eV per formula unit. The calculation puts the theoretical density at 2.88 g/cm³.

***

A relaxed YMg2 crystal, computed with PBE.

a = 8.5485 Å, b = 8.5485 Å, c = 8.5485 Å
α = 90.00°, β = 90.00°, γ = 90.00°
Last column: nearest neighbours and their distance in Å.
Space group Fd-3m (No. 227, origin choice 2)
Asymmetric unit:
Y: 0.1250 0.1250 0.1250 (multiplicity 8)  12 Mg 3.54, 4 Y 3.70
Mg: 0.0000 0.0000 0.5000 (multiplicity 16)  6 Mg 3.02

As for the formation energy: -0.093 eV per atom. The total moment comes out at 0.00 μB per cell. The calculation puts the theoretical density at 2.92 g/cm³.